# 1
12
Lattice="3.140 -5.572 0.000 3.140 5.572 0.000 -1.857 0.000 5.726" Properties=species:S:1:pos:R:3 comment="GGA-PBE Na3Ac2HgO6, optimized geometry" crystal_system=monoclinic e_form_raw_mev_per_atom=-1857 pbc="T T T"
Na 0.000 0.000 0.000
Na 3.140 1.716 0.000
Na 3.140 -1.716 0.000
Ac 2.212 3.675 2.863
Ac 2.212 -3.675 2.863
Hg 2.212 0.000 2.863
O 1.056 1.938 1.448
O 0.344 0.000 4.068
O 1.056 -1.938 1.448
O 3.368 1.938 4.277
O 4.079 0.000 1.658
O 3.368 -1.938 4.277

---

# 2
7
Lattice="2.535 1.463 9.038 -2.535 1.463 9.038 0.000 -2.927 9.038" Properties=species:S:1:pos:R:3 comment="GGA-PBE Na2AcHg2Pb2, optimized geometry" crystal_system=trigonal energy_ev_per_atom=-2.393 pbc="T T T"
Na 0.000 0.000 3.885
Na 0.000 0.000 23.228
Ac 0.000 0.000 0.000
Hg 0.000 0.000 11.917
Hg 0.000 0.000 15.196
Pb 0.000 0.000 7.208
Pb 0.000 0.000 19.905

---

# 3
8
Lattice="2.758 1.592 8.907 -2.758 1.592 8.907 0.000 -3.184 8.907" Properties=species:S:1:pos:R:3 comment="GGA-PBE NaAc2Hg4Pb, optimized geometry" crystal_system=trigonal energy_ev_per_atom=-2.229 pbc="T T T"
Na 0.000 0.000 0.000
Ac 0.000 0.000 6.547
Ac 0.000 0.000 20.173
Hg 0.000 0.000 3.148
Hg 0.000 0.000 9.871
Hg 0.000 0.000 16.848
Hg 0.000 0.000 23.572
Pb 0.000 0.000 13.360

---

no.,ρ (g cm⁻³)
1,6.793
2,8.988
3,10.520